Compound: Pa3TcS6
Source: Alexandria via LeMat-Bulk
Functional: PBE
Structure: optimized geometry

Unit cell a=11.4953 b=11.4953 c=11.2572 alpha=90.00 beta=90.00 gamma=120.00
Space group R-3 (No. 148, hexagonal axes)
Inequivalent atoms, fractional coordinates:
Pa (0.0468, 0.4399, 0.3197) (multiplicity 18)
Tc (0.0000, 0.0000, 0.0000) (multiplicity 3)
Tc (0.0000, 0.0000, 0.5000) (multiplicity 3)
S (0.0395, 0.2078, 0.3994) (multiplicity 18)
S (0.0537, 0.1921, 0.8767) (multiplicity 18)

Values from the calculation:
For the spin magnetization, the calculation gives 4.1 μB per formula unit. For the formation energy from raw total energies, the calculation gives -1280 meV per atom. Its uncorrected energy is -0.28082 hartree per atom.

Compound: PaTc2S6
Source: Alexandria via LeMat-Bulk
Functional: PBE
Structure: optimized geometry

Unit cell a=12.5432 b=4.5422 c=8.1977 alpha=90.00 beta=128.14 gamma=90.00
Space group C2/m (No. 12)
Inequivalent atoms, fractional coordinates:
Pa (0.0000, 0.0000, 0.0000) (multiplicity 2)
Tc (0.1828, 0.0000, 0.6048) (multiplicity 4)
S (0.0370, 0.0000, 0.6992) (multiplicity 4)
S (0.1371, 0.5000, 0.0308) (multiplicity 4)
S (0.2362, 0.5000, 0.5972) (multiplicity 4)

Values from the calculation:
For the spin magnetization, the calculation gives 0.0 μB per formula unit. For the formation energy from raw total energies, the calculation gives -685 meV per atom. Its uncorrected energy is -0.24971 hartree per atom.

Compound: Pa6TeS12
Source: Alexandria via LeMat-Bulk
Functional: PBE
Structure: optimized geometry

Unit cell a=12.5492 b=12.5492 c=10.0916 alpha=90.00 beta=90.00 gamma=120.00
Space group R-3m (No. 166, hexagonal axes)
Inequivalent atoms, fractional coordinates:
Pa (0.0550, 0.5275, 0.2843) (multiplicity 18)
Te (0.0000, 0.0000, 0.0000) (multiplicity 3)
S (0.0000, 0.3689, 0.5000) (multiplicity 18)
S (0.0892, 0.1784, 0.3672) (multiplicity 18)

Values from the calculation:
For the spin magnetization, the calculation gives 0.0 μB per formula unit. For the formation energy from raw total energies, the calculation gives -1448 meV per atom. Its uncorrected energy is -0.26531 hartree per atom.

Compound: Pa2TeS4
Source: Alexandria via LeMat-Bulk
Functional: PBE
Structure: optimized geometry

Unit cell a=8.0387 b=13.4405 c=6.8392 alpha=90.00 beta=90.00 gamma=90.00
Space group Ima2 (No. 46)
Inequivalent atoms, fractional coordinates:
Pa (0.0000, 0.0000, 0.0000) (multiplicity 4)
Pa (0.2500, 0.1949, 0.5830) (multiplicity 4)
Te (0.2500, 0.6221, 0.7297) (multiplicity 4)
S (0.0266, 0.1991, 0.8694) (multiplicity 8)
S (0.2500, 0.0007, 0.7283) (multiplicity 4)
S (0.2500, 0.1052, 0.2289) (multiplicity 4)

Values from the calculation:
For the spin magnetization, the calculation gives 0.0 μB per formula unit. For the formation energy from raw total energies, the calculation gives -1344 meV per atom. Its uncorrected energy is -0.25226 hartree per atom.

Compound: Pa2TeS
Source: Alexandria via LeMat-Bulk
Functional: PBE
Structure: optimized geometry

Unit cell a=3.5620 b=3.5620 c=7.2105 alpha=90.00 beta=90.00 gamma=90.00
Space group P4/mmm (No. 123)
Inequivalent atoms, fractional coordinates:
Pa (0.0000, 0.0000, 0.2303) (multiplicity 2)
Te (0.5000, 0.5000, 0.5000) (multiplicity 1)
S (0.5000, 0.5000, 0.0000) (multiplicity 1)

Values from the calculation:
For the spin magnetization, the calculation gives 1.6 μB per formula unit. For the formation energy from raw total energies, the calculation gives -826 meV per atom. Its uncorrected energy is -0.27163 hartree per atom.

Compound: PaTe2S6
Source: Alexandria via LeMat-Bulk
Functional: PBE
Structure: optimized geometry

Unit cell a=12.2768 b=13.8791 c=6.5360 alpha=90.00 beta=105.96 gamma=90.00
Space group C2/c (No. 15)
Inequivalent atoms, fractional coordinates:
Pa (0.0000, 0.0806, 0.2500) (multiplicity 4)
Te (0.1079, 0.3715, 0.1012) (multiplicity 8)
S (0.0934, 0.3854, 0.5069) (multiplicity 8)
S (0.1287, 0.0455, 0.6299) (multiplicity 8)
S (0.1390, 0.2025, 0.1083) (multiplicity 8)

Values from the calculation:
For the spin magnetization, the calculation gives 0.0 μB per formula unit. For the formation energy from raw total energies, the calculation gives -461 meV per atom. Its uncorrected energy is -0.18251 hartree per atom.

Compound: Pa3Te5S
Source: Alexandria via LeMat-Bulk
Functional: PBE
Structure: optimized geometry

Unit cell a=12.8701 b=10.2646 c=10.1929 alpha=90.00 beta=108.42 gamma=90.00
Space group C2/m (No. 12)
Inequivalent atoms, fractional coordinates:
Pa (0.0000, 0.0000, 0.0000) (multiplicity 2)
Pa (0.0000, 0.0000, 0.5000) (multiplicity 2)
Pa (0.1602, 0.5000, 0.1666) (multiplicity 4)
Pa (0.2188, 0.5000, 0.5910) (multiplicity 4)
Te (0.0000, 0.2964, 0.0000) (multiplicity 4)
Te (0.0116, 0.5000, 0.3371) (multiplicity 4)
Te (0.1899, 0.1908, 0.6262) (multiplicity 8)
Te (0.2461, 0.0000, 0.0754) (multiplicity 4)
S (0.0609, 0.0000, 0.2759) (multiplicity 4)

Values from the calculation:
For the spin magnetization, the calculation gives 3.0 μB per formula unit. For the formation energy from raw total energies, the calculation gives -840 meV per atom. Its uncorrected energy is -0.22819 hartree per atom.

Compound: Pa2Te2S
Source: Alexandria via LeMat-Bulk
Functional: PBE
Structure: optimized geometry

Unit cell a=3.9820 b=6.1037 c=12.2230 alpha=90.00 beta=90.00 gamma=90.00
Space group Immm (No. 71)
Inequivalent atoms, fractional coordinates:
Pa (0.0000, 0.0000, 0.1533) (multiplicity 4)
Te (0.0000, 0.5000, 0.1513) (multiplicity 4)
S (0.0000, 0.5000, 0.5000) (multiplicity 2)

Values from the calculation:
For the spin magnetization, the calculation gives 1.8 μB per formula unit. For the formation energy from raw total energies, the calculation gives -1017 meV per atom. Its uncorrected energy is -0.25347 hartree per atom.

Compound: Pa3Te2S
Source: Alexandria via LeMat-Bulk
Functional: PBE
Structure: optimized geometry

Unit cell a=7.2183 b=12.5131 c=7.3244 alpha=90.00 beta=109.21 gamma=90.00
Space group C2/m (No. 12)
Inequivalent atoms, fractional coordinates:
Pa (0.2003, 0.0000, 0.2005) (multiplicity 4)
Pa (0.2439, 0.1816, 0.7839) (multiplicity 8)
Te (0.0000, 0.0000, 0.5000) (multiplicity 2)
Te (0.0000, 0.3495, 0.5000) (multiplicity 4)
Te (0.0000, 0.5000, 0.0000) (multiplicity 2)
S (0.0000, 0.1711, 0.0000) (multiplicity 4)

Values from the calculation:
For the spin magnetization, the calculation gives 0.0 μB per formula unit. For the formation energy from raw total energies, the calculation gives -941 meV per atom. Its uncorrected energy is -0.27283 hartree per atom.

Compound: Pa2Te4S
Source: Alexandria via LeMat-Bulk
Functional: PBE
Structure: optimized geometry

Unit cell a=11.6362 b=16.4663 c=7.6930 alpha=90.00 beta=130.87 gamma=90.00
Space group Cc (No. 9)
Inequivalent atoms, fractional coordinates:
Pa (0.0000, 0.0352, 0.0000) (multiplicity 4)
Pa (0.2518, 0.2503, 0.9481) (multiplicity 4)
Te (0.9997, 0.2330, 0.9653) (multiplicity 4)
Te (0.0038, 0.2877, 0.4554) (multiplicity 4)
Te (0.2432, 0.0650, 0.9570) (multiplicity 4)
Te (0.2565, 0.4354, 0.9753) (multiplicity 4)
S (0.0002, 0.0942, 0.3121) (multiplicity 4)

Values from the calculation:
For the spin magnetization, the calculation gives 0.0 μB per formula unit. For the formation energy from raw total energies, the calculation gives -841 meV per atom. Its uncorrected energy is -0.21824 hartree per atom.

Compound: Pa2Te2S
Source: Alexandria via LeMat-Bulk
Functional: PBE
Structure: optimized geometry

Unit cell a=4.0662 b=4.0662 c=31.2929 alpha=90.00 beta=90.00 gamma=120.00
Space group R-3m (No. 166, hexagonal axes)
Inequivalent atoms, fractional coordinates:
Pa (0.0000, 0.0000, 0.1198) (multiplicity 6)
Te (0.0000, 0.0000, 0.2759) (multiplicity 6)
S (0.0000, 0.0000, 0.5000) (multiplicity 3)

Values from the calculation:
For the spin magnetization, the calculation gives 0.0 μB per formula unit. For the formation energy from raw total energies, the calculation gives -1171 meV per atom. Its uncorrected energy is -0.25915 hartree per atom.

Compound: Pa3Te2S2
Source: Alexandria via LeMat-Bulk
Functional: PBE
Structure: optimized geometry

Unit cell a=7.6658 b=7.0431 c=8.5791 alpha=90.00 beta=121.33 gamma=90.00
Space group P2_1/c (No. 14)
Inequivalent atoms, fractional coordinates:
Pa (0.0000, 0.0000, 0.0000) (multiplicity 2)
Pa (0.2846, 0.0350, 0.7559) (multiplicity 4)
Te (0.1697, 0.6603, 0.8867) (multiplicity 4)
S (0.3609, 0.1703, 0.0895) (multiplicity 4)

Values from the calculation:
For the spin magnetization, the calculation gives 4.0 μB per formula unit. For the formation energy from raw total energies, the calculation gives -996 meV per atom. Its uncorrected energy is -0.26247 hartree per atom.